[1]
# PBE CoNiHg3, optimized geometry
# total energy = -9.166 eV for the cell shown
# energy of formation = 925.2 meV/atom
# spin magnetization = 0.182 μB per atom
# polymorph energy (0 for the lowest one) = 0.098 eV per atom
data_CoNiHg3
_chemical_formula_sum 'Co1 Ni1 Hg3'
_symmetry_space_group_name_H-M 'P m -3 m'
_symmetry_Int_Tables_number 221
_symmetry_space_group_name_Hall '-P 4 2 3'
_cell_length_a 4.9310
_cell_length_b 4.9310
_cell_length_c 4.9310
_cell_angle_alpha 90.00
_cell_angle_beta 90.00
_cell_angle_gamma 90.00
loop_
_atom_site_label
_atom_site_fract_x
_atom_site_fract_y
_atom_site_fract_z
Co1 0.0000 0.0000 0.0000
Ni1 0.5000 0.5000 0.5000
Hg1 0.0000 0.0000 0.5000


[2]
# PBE ZnHgOs3, optimized geometry
# total energy = -19.327 eV for the cell shown
# energy of formation = 3187.6 meV/atom
# spin magnetization = 1.106 μB per atom
# polymorph energy (0 for the lowest one) = 1.057 eV per atom
data_ZnHgOs3
_chemical_formula_sum 'Zn1 Hg1 Os3'
_symmetry_space_group_name_H-M 'P m -3 m'
_symmetry_Int_Tables_number 221
_symmetry_space_group_name_Hall '-P 4 2 3'
_cell_length_a 4.9424
_cell_length_b 4.9424
_cell_length_c 4.9424
_cell_angle_alpha 90.00
_cell_angle_beta 90.00
_cell_angle_gamma 90.00
loop_
_atom_site_label
_atom_site_fract_x
_atom_site_fract_y
_atom_site_fract_z
Zn1 0.0000 0.0000 0.0000
Hg1 0.5000 0.5000 0.5000
Os1 0.0000 0.5000 0.5000


[3]
# PBE PaZnSnO6, optimized geometry
# total energy = -124.052 eV for the cell shown
# spin magnetization = 0.102 μB per atom
data_PaZnSnO6
_chemical_formula_sum 'Pa2 Zn2 Sn2 O12'
_symmetry_space_group_name_H-M 'P -3 1 c'
_symmetry_Int_Tables_number 163
_symmetry_space_group_name_Hall '-P 3 2c'
_cell_length_a 5.5586
_cell_length_b 5.5586
_cell_length_c 8.9161
_cell_angle_alpha 90.00
_cell_angle_beta 90.00
_cell_angle_gamma 120.00
loop_
_atom_site_label
_atom_site_fract_x
_atom_site_fract_y
_atom_site_fract_z
Pa1 0.3333 0.6667 0.2500
Zn1 0.0000 0.0000 0.0000
Sn1 0.3333 0.6667 0.7500
O1 0.0115 0.3417 0.6271


Question: What is the total energy in the first record?
Answer: -9.166 eV for the cell shown


Copy entry 2 word for word.
# PBE ZnHgOs3, optimized geometry
# total energy = -19.327 eV for the cell shown
# energy of formation = 3187.6 meV/atom
# spin magnetization = 1.106 μB per atom
# polymorph energy (0 for the lowest one) = 1.057 eV per atom
data_ZnHgOs3
_chemical_formula_sum 'Zn1 Hg1 Os3'
_symmetry_space_group_name_H-M 'P m -3 m'
_symmetry_Int_Tables_number 221
_symmetry_space_group_name_Hall '-P 4 2 3'
_cell_length_a 4.9424
_cell_length_b 4.9424
_cell_length_c 4.9424
_cell_angle_alpha 90.00
_cell_angle_beta 90.00
_cell_angle_gamma 90.00
loop_
_atom_site_label
_atom_site_fract_x
_atom_site_fract_y
_atom_site_fract_z
Zn1 0.0000 0.0000 0.0000
Hg1 0.5000 0.5000 0.5000
Os1 0.0000 0.5000 0.5000


Question: Which value of spin magnetization does entry 3 give?
Answer: 0.102 μB per atom


Question: What is the formula in the second record?
Answer: ZnHgOs3